Record 1
Zr2Pd8Pt | PBE-GGA | optimized geometry

```
data_Zr2Pd8Pt
_chemical_formula_sum 'Zr4 Pd16 Pt2'
_symmetry_space_group_name_H-M 'C 1 2/m 1'
_symmetry_Int_Tables_number 12
_cell_length_a 13.765
_cell_length_b 5.297
_cell_length_c 5.201
_cell_angle_alpha 90.00
_cell_angle_beta 98.42
_cell_angle_gamma 90.00
loop_
_symmetry_equiv_pos_as_xyz
'x,y,z'
'-x,-y,-z'
'-x,y,-z'
'x,-y,z'
'x+1/2,y+1/2,z'
'-x+1/2,-y+1/2,-z'
'-x+1/2,y+1/2,-z'
'x+1/2,-y+1/2,z'
loop_
_atom_site_label
_atom_site_type_symbol
_atom_site_fract_x
_atom_site_fract_y
_atom_site_fract_z
Zr1 Zr 0.181 0.000 0.337
Pd1 Pd 0.085 0.254 0.912
Pd2 Pd 0.097 0.500 0.428
Pd3 Pd 0.248 0.500 0.154
Pt1 Pt 0.000 0.000 0.500
```

Computed properties:
Fermi-level density of states: 14.80 states/eV per cell
uncorrected energy: -6.274 eV per atom
calculated formation energy: -4.339 eV per formula unit

Record 2
Zr7Pd2Pt2 | PBE-GGA | optimized geometry

```
data_Zr7Pd2Pt2
_chemical_formula_sum 'Zr14 Pd4 Pt4'
_symmetry_space_group_name_H-M 'C m m m'
_symmetry_Int_Tables_number 65
_symmetry_space_group_name_Hall '-C 2 2'
_cell_length_a 7.262
_cell_length_b 9.710
_cell_length_c 7.004
_cell_angle_alpha 90.00
_cell_angle_beta 90.00
_cell_angle_gamma 90.00
loop_
_atom_site_label
_atom_site_type_symbol
_atom_site_fract_x
_atom_site_fract_y
_atom_site_fract_z
Zr1 Zr 0.000 0.000 0.000
Zr2 Zr 0.000 0.500 0.270
Zr3 Zr 0.250 0.250 0.279
Pd1 Pd 0.180 0.000 0.500
Pt1 Pt 0.000 0.283 0.000
```

Computed properties:
Fermi-level density of states: 33.64 states/eV per cell
uncorrected energy: -7.724 eV per atom
calculated formation energy: -2.655 eV per formula unit

Record 3
ZrPd2Pt5 | PBE-GGA | optimized geometry

```
data_ZrPd2Pt5
_chemical_formula_sum 'Zr4 Pd8 Pt20'
_symmetry_space_group_name_H-M 'I 4/m c m'
_symmetry_Int_Tables_number 140
_symmetry_space_group_name_Hall '-I 4 2c'
_cell_length_a 6.991
_cell_length_b 6.991
_cell_length_c 10.961
_cell_angle_alpha 90.00
_cell_angle_beta 90.00
_cell_angle_gamma 90.00
loop_
_atom_site_label
_atom_site_type_symbol
_atom_site_fract_x
_atom_site_fract_y
_atom_site_fract_z
Zr1 Zr 0.000 0.000 0.250
Pd1 Pd 0.149 0.351 0.000
Pt1 Pt 0.000 0.000 0.000
Pt2 Pt 0.147 0.353 0.333
```

Computed properties:
Fermi-level density of states: 30.35 states/eV per cell
uncorrected energy: -6.468 eV per atom
calculated formation energy: -2.609 eV per formula unit